[1]
Here is a relaxed Sr2Bi3Pd4Au crystal from Alexandria via LeMat-Bulk. Energies are from GGA-PBE.

The structure in extended XYZ format:
```
10
Lattice="-0.370 4.419 -1.906 -3.096 -1.682 -3.299 -8.212 2.161 6.604" Properties=species:S:1:pos:R:3 pbc="T T T"
Sr -2.272 2.759 0.726
Sr -7.672 0.771 3.275
Bi -4.106 1.081 3.302
Bi -7.362 4.099 4.820
Bi -2.582 -0.569 -0.818
Pd -1.733 1.369 -2.603
Pd 0.000 0.000 0.000
Pd -5.307 3.558 3.166
Pd -4.638 -0.028 0.835
Au -5.839 2.449 0.700
```

Properties
Calculated volume in Å³ per cell: 250.64
Size of the total moment in μB per formula unit: 0.00
ΔH_f (0 K) in eV/atom: -0.559
Symmetry: P-4m2 (115)

***

[2]
Here is a relaxed ThBiPdAu crystal from Alexandria via LeMat-Bulk. Energies are from GGA-PBE.

The structure in extended XYZ format:
```
4
Lattice="-3.747 2.777 2.084 -3.997 1.436 -2.838 -4.588 -2.096 0.804" Properties=species:S:1:pos:R:3 pbc="T T T"
Pd -6.166 1.058 0.025
Au 0.000 0.000 0.000
Bi -3.083 0.529 0.013
Th -9.249 1.587 0.038
```

Properties
Calculated volume in Å³ per cell: 94.24
Size of the total moment in μB per formula unit: 0.00
ΔH_f (0 K) in eV/atom: -0.609
Symmetry: F-43m (216)

***

[3]
Here is a relaxed TiBi2PdAu crystal from Alexandria via LeMat-Bulk. Energies are from GGA-PBE.

The structure in extended XYZ format:
```
5
Lattice="5.302 0.000 0.000 0.000 5.302 0.000 0.000 0.000 4.838" Properties=species:S:1:pos:R:3 pbc="T T T"
Au 2.651 2.651 2.419
Bi 0.000 2.651 0.000
Bi 2.651 0.000 0.000
Pd 0.000 0.000 0.000
Ti 0.000 0.000 2.419
```

Properties
Calculated volume in Å³ per cell: 136.00
Size of the total moment in μB per formula unit: 0.00
ΔH_f (0 K) in eV/atom: 0.540
Symmetry: P4/mmm (123)